The following is a meta-GGA SCAN calculation of a PBEsol-optimized structure of MgNbB2H, from Alexandria via LeMat-Bulk.

VASP energy, eV per atom: -10.663
Fermi-level density of states, states/eV per atom: 0.274
Magnetization, μB per atom: 0.000

a b c (Å): 3.7534 3.7534 3.4205
angles (deg): 90.00 90.00 90.00
Closest atoms and distances in Å follow each position.
Space group P4/mmm (No. 123)
Asymmetric unit:
Mg (0.0000, 0.0000, 0.0000) (multiplicity 1)  2 H 1.71
Nb (0.5000, 0.5000, 0.0000) (multiplicity 1)  8 B 2.54, 4 Mg 2.65
B (0.0000, 0.5000, 0.5000) (multiplicity 2)  2 H 1.88
H (0.0000, 0.0000, 0.5000) (multiplicity 1)  2 Mg 1.71, 4 B 1.88